[1]
DFT (PBE) results for TmSn2S4 after structural relaxation.

Results
VASP energy: -5.04 eV per atom
V: 23.62 Å³/atom
crystal system: orthorhombic
E_form (uncorrected): -902.8 meV/atom
DOS at the Fermi energy: 0.3940 states/eV per atom

Unit cell a=3.7647 b=13.2330 c=13.2741 alpha=90.00 beta=90.00 gamma=90.00
Space group Cmcm (No. 63)
One atom of each set of equivalent atoms:
1 Tm 0.0000 0.1191 0.2500 x4
2 Sn 0.0000 0.3694 0.0699 x8
3 S 0.0000 0.0000 0.0000 x4
4 S 0.0000 0.2868 0.6259 x8
5 S 0.0000 0.4741 0.2500 x4


[2]
DFT (PBE) results for ThCoH2 after structural relaxation.

Results
VASP energy: -5.66 eV per atom
V: 12.00 Å³/atom
energy above the lowest structure with this stoichiometry: 5 meV/atom
crystal system: orthorhombic
DOS at the Fermi energy: 0.6224 states/eV per atom

Unit cell a=3.6986 b=12.7257 c=4.0795 alpha=90.00 beta=90.00 gamma=90.00
Space group Cmcm (No. 63)
One atom of each set of equivalent atoms:
1 Th 0.0000 0.1391 0.2500 x4
2 Co 0.0000 0.4473 0.2500 x4
3 H 0.0000 0.0502 0.7500 x4
4 H 0.0000 0.2415 0.7500 x4


[3]
DFT (PBE) results for VHgTe2 after structural relaxation.

Results
VASP energy: -4.16 eV per atom
V: 28.70 Å³/atom
crystal system: monoclinic
E_form (uncorrected): -232.0 meV/atom
DOS at the Fermi energy: 0.3583 states/eV per atom

Unit cell a=19.9828 b=3.5561 c=6.4828 alpha=90.00 beta=94.54 gamma=90.00
Space group Cm (No. 8)
One atom of each set of equivalent atoms:
1 V 0.0000 0.0000 0.0000 x2
2 V 0.0027 0.5000 0.5784 x2
3 Hg 0.2501 0.0000 0.1360 x2
4 Hg 0.2573 0.5000 0.5960 x2
5 Te 0.0779 0.5000 0.2338 x2
6 Te 0.0951 0.0000 0.7317 x2
7 Te 0.4078 0.0000 0.8469 x2
8 Te 0.4252 0.5000 0.3446 x2


[4]
DFT (PBE) results for Ac2LaPm2Dy after structural relaxation.

Results
DFT formation energy: 0.076 eV/atom
VASP energy: -4.47 eV per atom
V: 37.72 Å³/atom
crystal system: orthorhombic
DOS at the Fermi energy: 1.5171 states/eV per atom

Unit cell a=7.3900 b=5.9531 c=10.2899 alpha=90.00 beta=90.00 gamma=90.00
Space group Pmma (No. 51)
One atom of each set of equivalent atoms:
1 Ac 0.0000 0.0000 0.0000 x2
2 Ac 0.2500 0.5000 0.1717 x2
3 La 0.0000 0.5000 0.5000 x2
4 Pm 0.2500 0.0000 0.3417 x2
5 Pm 0.2500 0.5000 0.8260 x2
6 Dy 0.2500 0.0000 0.6646 x2


[5]
DFT (PBE) results for TbYC after structural relaxation.

Results
DFT formation energy: -0.253 eV/atom
VASP energy: -7.03 eV per atom
V: 23.43 Å³/atom
energy above the lowest structure with this stoichiometry: 23 meV/atom
crystal system: trigonal
DOS at the Fermi energy: 0.7942 states/eV per atom

Unit cell a=3.5927 b=3.5927 c=6.2888 alpha=90.00 beta=90.00 gamma=120.00
Space group P3m1 (No. 156)
One atom of each set of equivalent atoms:
1 Tb 0.0000 0.0000 0.0000 x1
2 Y 0.6667 0.3333 0.4318 x1
3 C 0.3333 0.6667 0.2142 x1


[6]
DFT (PBE) results for MgReRh after structural relaxation.

Results
DFT formation energy: -0.069 eV/atom
VASP energy: -7.20 eV per atom
V: 15.81 Å³/atom
energy above the lowest structure with this stoichiometry: 76 meV/atom
crystal system: monoclinic
DOS at the Fermi energy: 0.7651 states/eV per atom

Unit cell a=2.8034 b=3.9088 c=8.6590 alpha=90.00 beta=90.26 gamma=90.00
Space group P2_1/m (No. 11)
One atom of each set of equivalent atoms:
1 Mg 0.2496 0.2500 0.1033 x2
2 Re 0.2520 0.2500 0.4332 x2
3 Rh 0.2512 0.2500 0.7397 x2